(1)
RbNaLa2Ga PBE-GGA relaxed; total magnetization = 0.00 μB per atom; Fermi-level density of states = 5.48 states/eV per cell
1.0
5.9175 0.0000 0.0000
0.0000 5.9175 0.0000
0.0000 0.0000 5.7263
Rb Na La Ga
1 1 2 1
Direct
0.0000 0.0000 0.0000
0.5000 0.5000 0.5000
0.0000 0.5000 0.0000
0.5000 0.0000 0.0000
0.0000 0.0000 0.5000

(2)
RbNaLa2Ga PBE-GGA relaxed; total magnetization = 0.12 μB per atom; Fermi-level density of states = 7.36 states/eV per cell
1.0
5.8868 0.0000 0.0000
0.0000 5.8868 0.0000
0.0000 0.0000 6.9643
Rb Na La Ga
1 1 2 1
Direct
0.0000 0.0000 0.0000
0.5000 0.5000 0.0000
0.0000 0.5000 0.5000
0.5000 0.0000 0.5000
0.0000 0.0000 0.5000

Ordering by calculated energy gives the sequence (2), (1), with the first entry being the most stable.

(1)
LaNb3Ga PBE-GGA relaxed; total magnetization = 0.00 μB per atom; Fermi-level density of states = 8.06 states/eV per cell
1.0
4.9403 0.0000 0.0000
0.0000 4.9403 0.0000
0.0000 0.0000 4.9403
La Nb Ga
1 3 1
Direct
0.0000 0.0000 0.0000
0.0000 0.5000 0.5000
0.5000 0.0000 0.5000
0.5000 0.5000 0.0000
0.5000 0.5000 0.5000

(2)
LaNb3Ga PBE-GGA relaxed; total magnetization = 0.00 μB per atom; Fermi-level density of states = 6.52 states/eV per cell
1.0
4.9184 0.0000 0.0000
0.0000 4.9184 0.0000
0.0000 0.0000 4.9184
La Nb Ga
1 3 1
Direct
0.0000 0.0000 0.0000
0.0000 0.0000 0.5000
0.0000 0.5000 0.0000
0.5000 0.0000 0.0000
0.5000 0.5000 0.5000

Ordering by calculated energy gives the sequence (1), (2), with the first entry being the most stable.

(1)
LaNbGa3 PBE-GGA relaxed; total magnetization = 0.00 μB per atom; Fermi-level density of states = 8.57 states/eV per cell
1.0
5.3260 0.0000 0.0000
0.0000 5.3260 0.0000
0.0000 0.0000 5.3260
La Nb Ga
1 1 3
Direct
0.0000 0.0000 0.0000
0.5000 0.5000 0.5000
0.0000 0.0000 0.5000
0.0000 0.5000 0.0000
0.5000 0.0000 0.0000

(2)
LaNbGa3 PBE-GGA relaxed; total magnetization = 0.00 μB per atom; Fermi-level density of states = 2.63 states/eV per cell
1.0
4.9800 0.0000 0.0000
0.0000 4.9800 0.0000
0.0000 0.0000 4.9800
La Nb Ga
1 1 3
Direct
0.0000 0.0000 0.0000
0.5000 0.5000 0.5000
0.0000 0.5000 0.5000
0.5000 0.0000 0.5000
0.5000 0.5000 0.0000

Ordering by calculated energy gives the sequence (2), (1), with the first entry being the most stable.

(1)
La3NdGa PBE-GGA relaxed; total magnetization = 0.00 μB per atom; Fermi-level density of states = 12.49 states/eV per cell
1.0
3.7508 0.0000 0.0000
-0.0033 9.1937 0.0000
-1.8718 -2.3104 9.3603
La Nd Ga
6 2 2
Direct
0.0015 0.3228 0.0013
0.1874 0.3701 0.3750
0.2031 0.8361 0.4040
0.7969 0.1639 0.5960
0.8126 0.6299 0.6250
0.9985 0.6772 0.9987
0.4089 0.9644 0.8197
0.5911 0.0356 0.1803
0.3826 0.4255 0.7665
0.6174 0.5745 0.2335

(2)
La3NdGa PBE-GGA relaxed; total magnetization = 0.00 μB per atom; Fermi-level density of states = 15.52 states/eV per cell
1.0
6.1725 -4.6613 0.0000
6.1725 4.6613 0.0000
-5.3194 0.0000 6.1428
La Nd Ga
6 2 2
Direct
0.0642 0.0642 0.3463
0.0786 0.4452 0.2227
0.4452 0.0786 0.2227
0.5548 0.9214 0.7773
0.9214 0.5548 0.7773
0.9358 0.9358 0.6537
0.4368 0.4368 0.7381
0.5632 0.5632 0.2619
0.2492 0.2492 0.8716
0.7508 0.7508 0.1284

Ordering by calculated energy gives the sequence (1), (2), with the first entry being the most stable.

(1)
LaNdGa PBE-GGA relaxed; total magnetization = 0.00 μB per atom; Fermi-level density of states = 3.73 states/eV per cell
1.0
0.0000 3.6470 3.6470
3.6470 0.0000 3.6470
3.6470 3.6470 0.0000
La Nd Ga
1 1 1
Direct
0.0000 0.0000 0.0000
0.5000 0.5000 0.5000
0.7500 0.7500 0.7500

(2)
LaNdGa PBE-GGA relaxed; total magnetization = 0.00 μB per atom; Fermi-level density of states = 9.75 states/eV per cell
1.0
8.1887 0.0000 0.0000
-4.0944 7.0916 0.0000
0.0000 0.0000 4.5868
La Nd Ga
3 3 3
Direct
0.0000 0.4049 0.0000
0.4049 0.0000 0.0000
0.5951 0.5951 0.0000
0.0000 0.7313 0.5000
0.2687 0.2687 0.5000
0.7313 0.0000 0.5000
0.0000 0.0000 0.0000
0.3333 0.6667 0.5000
0.6667 0.3333 0.5000

Ordering by calculated energy gives the sequence (2), (1), with the first entry being the most stable.

(1)
LaNdGa PBE-GGA relaxed; total magnetization = 0.21 μB per atom; Fermi-level density of states = 3.64 states/eV per cell
1.0
-1.9162 1.9162 6.0616
1.9162 -1.9162 6.0616
1.9162 1.9162 -6.0616
La Nd Ga
1 1 1
Direct
0.0000 0.0000 0.0000
0.7147 0.7147 0.0000
0.3508 0.3508 0.0000

(2)
LaNdGa PBE-GGA relaxed; total magnetization = 0.00 μB per atom; Fermi-level density of states = 5.89 states/eV per cell
1.0
4.5623 -2.6514 0.0000
4.5623 2.6514 0.0000
-3.0318 0.0000 7.3312
La Nd Ga
2 2 2
Direct
0.1278 0.1278 0.3839
0.8722 0.8722 0.6161
0.2947 0.2947 0.8864
0.7053 0.7053 0.1136
0.4378 0.4378 0.3101
0.5622 0.5622 0.6899

Ordering by calculated energy gives the sequence (1), (2), with the first entry being the most stable.

(1)
La8NdGa2 PBE-GGA relaxed; total magnetization = 0.00 μB per atom; Fermi-level density of states = 13.16 states/eV per cell
1.0
8.1643 -3.5111 0.0000
8.1643 3.5111 0.0000
-0.5946 0.0000 6.4176
La Nd Ga
8 1 2
Direct
0.0868 0.0868 0.4102
0.1388 0.6518 0.0807
0.2879 0.2879 0.6611
0.3482 0.8612 0.9193
0.6518 0.1388 0.0807
0.7121 0.7121 0.3389
0.8612 0.3482 0.9193
0.9132 0.9132 0.5898
0.5000 0.5000 0.5000
0.2451 0.2451 0.1700
0.7549 0.7549 0.8300

(2)
La8NdGa2 PBE-GGA relaxed; total magnetization = 0.00 μB per atom; Fermi-level density of states = 15.72 states/eV per cell
1.0
8.7687 -2.6630 0.0000
8.7687 2.6630 0.0000
-3.3521 0.0000 7.8172
La Nd Ga
8 1 2
Direct
0.0508 0.0508 0.2353
0.1533 0.1533 0.7250
0.3124 0.3124 0.5463
0.3796 0.3796 0.0240
0.6204 0.6204 0.9760
0.6876 0.6876 0.4537
0.8467 0.8467 0.2750
0.9492 0.9492 0.7647
0.5000 0.5000 0.5000
0.2184 0.2184 0.1504
0.7816 0.7816 0.8496

Ordering by calculated energy gives the sequence (2), (1), with the first entry being the most stable.

(1)
LaNdGa2 PBE-GGA relaxed; total magnetization = 0.00 μB per atom; Fermi-level density of states = 3.95 states/eV per cell
1.0
4.2230 0.0000 0.0000
0.0000 2.2536 5.7215
0.0000 -2.2536 5.7215
La Nd Ga
1 1 2
Direct
0.0000 0.0000 0.0000
0.5000 0.2816 0.2816
0.0000 0.7139 0.7139
0.5000 0.5755 0.5755

(2)
LaNdGa2 PBE-GGA relaxed; total magnetization = 0.00 μB per atom; Fermi-level density of states = 2.16 states/eV per cell
1.0
0.0000 3.7388 3.7388
3.7388 0.0000 3.7388
3.7388 3.7388 0.0000
La Nd Ga
1 1 2
Direct
0.0000 0.0000 0.0000
0.5000 0.5000 0.5000
0.2500 0.2500 0.2500
0.7500 0.7500 0.7500

(3)
LaNdGa2 PBE-GGA relaxed; total magnetization = 0.00 μB per atom; Fermi-level density of states = 2.30 states/eV per cell
1.0
3.7358 0.0000 0.0000
0.0000 3.7358 0.0000
0.0000 0.0000 7.4647
La Nd Ga
1 1 2
Direct
0.0000 0.0000 0.0000
0.0000 0.0000 0.5000
0.5000 0.5000 0.2598
0.5000 0.5000 0.7402

(4)
LaNdGa2 PBE-GGA relaxed; total magnetization = 0.00 μB per atom; Fermi-level density of states = 3.23 states/eV per cell
1.0
1.9332 1.1161 8.9616
-1.9332 1.1161 8.9616
0.0000 -2.2322 8.9616
La Nd Ga
1 1 2
Direct
0.0000 0.0000 0.0000
0.5000 0.5000 0.5000
0.2484 0.2484 0.2484
0.7516 0.7516 0.7516

Ordering by calculated energy gives the sequence (1), (3), (2), (4), with the first entry being the most stable.

(1)
LaNd2Ga6 PBE-GGA relaxed; total magnetization = 0.00 μB per atom; Fermi-level density of states = 4.54 states/eV per cell
1.0
-2.2395 3.6705 6.7000
2.2395 -3.6705 6.7000
2.2395 3.6705 -6.7000
La Nd Ga
1 2 6
Direct
0.0000 0.0000 0.0000
0.3696 0.8696 0.5000
0.6304 0.1304 0.5000
0.0135 0.3214 0.6921
0.3203 0.5000 0.8203
0.3707 0.6786 0.6921
0.6293 0.3214 0.3079
0.6797 0.5000 0.1797
0.9865 0.6786 0.3079

(2)
LaNd2Ga6 PBE-GGA relaxed; total magnetization = 0.00 μB per atom; Fermi-level density of states = 5.90 states/eV per cell
1.0
7.4320 0.0000 0.0000
-3.7160 6.4363 0.0000
0.0000 0.0000 4.3677
La Nd Ga
1 2 6
Direct
0.0000 0.0000 0.0000
0.3333 0.6667 0.0000
0.6667 0.3333 0.0000
0.0000 0.3345 0.5000
0.0000 0.6655 0.5000
0.3345 0.0000 0.5000
0.3345 0.3345 0.5000
0.6655 0.0000 0.5000
0.6655 0.6655 0.5000

Ordering by calculated energy gives the sequence (2), (1), with the first entry being the most stable.

(1)
LaNd2Ga2 PBE-GGA relaxed; total magnetization = 0.00 μB per atom; Fermi-level density of states = 9.73 states/eV per cell
1.0
7.9081 0.0000 0.0000
0.0000 7.9081 0.0000
0.0000 0.0000 4.5347
La Nd Ga
2 4 4
Direct
0.0000 0.0000 0.0000
0.5000 0.5000 0.0000
0.1748 0.3252 0.5000
0.3252 0.8252 0.5000
0.6748 0.1748 0.5000
0.8252 0.6748 0.5000
0.1160 0.6160 0.0000
0.3840 0.1160 0.0000
0.6160 0.8840 0.0000
0.8840 0.3840 0.0000

(2)
LaNd2Ga2 PBE-GGA relaxed; total magnetization = 0.00 μB per atom; Fermi-level density of states = 6.35 states/eV per cell
1.0
6.3638 -1.9271 0.0000
6.3638 1.9271 0.0000
-1.2568 0.0000 5.9626
La Nd Ga
1 2 2
Direct
0.0000 0.0000 0.0000
0.3632 0.3632 0.4334
0.6368 0.6368 0.5666
0.2916 0.2916 0.8941
0.7084 0.7084 0.1059

Ordering by calculated energy gives the sequence (1), (2), with the first entry being the most stable.

(1)
La2Nd3Ga4 PBE-GGA relaxed; total magnetization = 0.00 μB per atom; Fermi-level density of states = 12.81 states/eV per cell
1.0
3.6338 -7.9474 0.0000
3.6338 7.9474 0.0000
0.0000 0.0000 8.9081
La Nd Ga
4 6 8
Direct
0.1059 0.8941 0.9321
0.3941 0.6059 0.4321
0.6059 0.3941 0.5679
0.8941 0.1059 0.0679
0.0000 0.0000 0.5000
0.0288 0.4712 0.7500
0.4712 0.0288 0.2500
0.5000 0.5000 0.0000
0.5288 0.9712 0.7500
0.9712 0.5288 0.2500
0.1884 0.8116 0.5304
0.2196 0.2804 0.7500
0.2804 0.2196 0.2500
0.3116 0.6884 0.0304
0.6884 0.3116 0.9696
0.7196 0.7804 0.7500
0.7804 0.7196 0.2500
0.8116 0.1884 0.4696

(2)
La2Nd3Ga4 PBE-GGA relaxed; total magnetization = 0.00 μB per atom; Fermi-level density of states = 16.42 states/eV per cell
1.0
8.3078 0.0000 0.0000
0.0000 8.2760 0.0000
-2.1077 0.0000 7.4293
La Nd Ga
4 6 8
Direct
0.1888 0.1819 0.0717
0.1888 0.3181 0.5717
0.8112 0.6819 0.4283
0.8112 0.8181 0.9283
0.2369 0.6759 0.2526
0.2369 0.8241 0.7526
0.5000 0.0000 0.5000
0.5000 0.5000 0.0000
0.7631 0.1759 0.2474
0.7631 0.3241 0.7474
0.0786 0.5309 0.8706
0.0786 0.9691 0.3706
0.4914 0.1193 0.8827
0.4914 0.3807 0.3827
0.5086 0.6193 0.6173
0.5086 0.8807 0.1173
0.9214 0.0309 0.6294
0.9214 0.4691 0.1294

Ordering by calculated energy gives the sequence (2), (1), with the first entry being the most stable.